This record from Alexandria via LeMat-Bulk describes Fe2PO after structural relaxation. The functional is PBE with a Hubbard U.

Geometry as POSCAR:
```
Fe2PO
1.0
5.008 0.000 0.000
0.000 5.008 0.000
2.504 2.504 5.336
P Fe O
2 4 2
Direct
0.000 0.000 0.000
0.750 0.250 0.500
0.552 0.125 0.250
0.198 0.625 0.250
0.375 0.448 0.750
0.875 0.802 0.750
0.500 0.500 0.000
0.250 0.750 0.500
```

As for the crystal system: tetragonal. Its total moment is 8.1 μB per formula unit. The total energy is -5.753 eV/atom. As for the space-group type: I-42d (122). For the volume, the calculation gives 133.82 Å³ per cell. Its density of states at the Fermi level is 0.52 states/eV per atom.